{
  "formula": "GdUTc",
  "functional": "PBE-GGA",
  "state": "optimized geometry",
  "magmom_total_mub_per_cell": 6.60,
  "spacegroup": "No. 107",
  "e_form_kcal_per_mol_atoms": 0.47,
  "cell": [[3.4456, 0.0000, 0.0000], [0.0000, 3.4456, 0.0000], [-1.7228, -1.7228, 5.5623]],
  "species": ["Gd", "U", "Tc"],
  "frac_coords": [[0.9991, 0.9991, 0.9983], [0.3021, 0.3021, 0.6042], [0.6987, 0.6987, 0.3975]]
}



{
  "formula": "Dy4Ho2Er7",
  "functional": "PBE-GGA",
  "state": "optimized geometry",
  "magmom_total_mub_per_cell": 0.00,
  "spacegroup": "No. 162",
  "e_form_kcal_per_mol_atoms": 3.99,
  "cell": [[-0.3532, -5.6991, 1.8301], [1.0332, 1.2356, -5.7757], [12.9464, -0.0631, 2.3024]],
  "species": ["Dy", "Dy", "Dy", "Dy", "Ho", "Ho", "Er", "Er", "Er", "Er", "Er", "Er", "Er"],
  "frac_coords": [[0.0000, 0.0000, 0.6065], [0.0000, 0.0000, 0.3935], [0.6667, 0.3333, 0.5000], [0.3333, 0.6667, 0.5000], [0.6667, 0.3333, 0.0000], [0.3333, 0.6667, 0.0000], [0.0000, 0.6465, 0.7857], [0.0000, 0.3535, 0.2143], [0.0000, 0.0000, 0.0000], [0.6465, 0.0000, 0.7857], [0.3535, 0.0000, 0.2143], [0.6465, 0.6465, 0.2143], [0.3535, 0.3535, 0.7857]]
}



{
  "formula": "KHfTe2N",
  "functional": "PBE-GGA",
  "state": "optimized geometry",
  "e_form_raw_ev_per_atom": 1.57,
  "magmom_total_mub_per_cell": 2.01,
  "spacegroup": "No. 123",
  "cell": [[5.8434, 0.0000, 0.0000], [0.0000, 5.8434, 0.0000], [0.0000, 0.0000, 4.4475]],
  "species": ["K", "Te", "Te", "Hf", "N"],
  "frac_coords": [[0.0000, 0.0000, 0.0000], [0.0000, 0.5000, 0.0000], [0.5000, 0.0000, 0.0000], [0.5000, 0.5000, 0.5000], [0.0000, 0.0000, 0.5000]]
}



{
  "formula": "Cr2NiAg",
  "functional": "PBE-GGA",
  "state": "optimized geometry",
  "magmom_total_mub_per_cell": 0.00,
  "spacegroup": "No. 47",
  "e_form_kcal_per_mol_atoms": 9.53,
  "cell": [[-1.1007, 2.3897, 0.1300], [-3.2190, -1.5640, 1.4951], [1.9507, 0.6338, 4.8632]],
  "species": ["Ag", "Cr", "Cr", "Ni"],
  "frac_coords": [[0.5000, 0.5000, 0.7500], [0.0000, 0.0000, 0.0621], [0.0000, 0.0000, 0.4379], [0.5000, 0.5000, 0.2500]]
}



{
  "formula": "MnNbGe3",
  "functional": "PBE-GGA",
  "state": "optimized geometry",
  "magmom_total_mub_per_cell": 0.00,
  "spacegroup": "No. 221",
  "e_form_kcal_per_mol_atoms": 18.08,
  "cell": [[-3.8074, 1.4904, 1.9073], [0.3731, -3.1512, 3.2072], [2.3916, 2.8643, 2.5360]],
  "species": ["Nb", "Mn", "Ge", "Ge", "Ge"],
  "frac_coords": [[0.5000, 0.5000, 0.5000], [0.0000, 0.0000, 0.0000], [0.0000, 0.5000, 0.0000], [0.0000, 0.0000, 0.5000], [0.5000, 0.0000, 0.0000]]
}



{
  "formula": "Ga2Ag2Se",
  "functional": "PBE-GGA",
  "state": "optimized geometry",
  "e_form_raw_ev_per_atom": 0.04,
  "magmom_total_mub_per_cell": 0.00,
  "spacegroup": "No. 127",
  "cell": [[-4.5290, -2.1530, -5.1832], [4.9931, -4.5872, -2.4575], [-1.3975, -2.7979, 2.3833]],
  "species": ["Ga", "Ga", "Ga", "Ga", "Se", "Se", "Ag", "Ag", "Ag", "Ag"],
  "frac_coords": [[0.1631, 0.6631, 0.5000], [0.6631, 0.8369, 0.5000], [0.8369, 0.3369, 0.5000], [0.3369, 0.1631, 0.5000], [0.0000, 0.0000, 0.0000], [0.5000, 0.5000, 0.0000], [0.3623, 0.8623, 0.0000], [0.8623, 0.6377, 0.0000], [0.6377, 0.1377, 0.0000], [0.1377, 0.3623, 0.0000]]
}



{
  "formula": "Dy2Ho",
  "functional": "PBE-GGA",
  "state": "optimized geometry",
  "magmom_total_mub_per_cell": 0.00,
  "spacegroup": "No. 139",
  "e_form_kcal_per_mol_atoms": 0.45,
  "cell": [[-2.4376, -2.3198, 1.0482], [2.3820, -1.5666, 2.0723], [-1.8819, 6.4975, 4.0778]],
  "species": ["Ho", "Dy", "Dy"],
  "frac_coords": [[0.0000, 0.0000, 0.0000], [0.6664, 0.6664, 0.3329], [0.3336, 0.3336, 0.6671]]
}



{
  "formula": "RbLi2CeF8",
  "functional": "PBE-GGA",
  "state": "optimized geometry",
  "e_form_raw_ev_per_atom": -2.95,
  "magmom_total_mub_per_cell": 1.16,
  "spacegroup": "No. 147",
  "cell": [[-4.4501, -3.0375, 0.3821], [3.8730, -0.4006, 3.7437], [-3.6461, 5.8954, 4.4029]],
  "species": ["Rb", "Li", "Li", "Ce", "F", "F", "F", "F", "F", "F", "F", "F"],
  "frac_coords": [[0.0000, 0.0000, 0.0000], [0.6667, 0.3333, 0.2518], [0.3333, 0.6667, 0.7482], [0.0000, 0.0000, 0.5000], [0.3333, 0.6667, 0.9784], [0.3260, 0.2923, 0.3320], [0.7077, 0.0337, 0.3320], [0.6667, 0.3333, 0.0216], [0.2923, 0.9663, 0.6680], [0.6740, 0.7077, 0.6680], [0.0337, 0.3260, 0.6680], [0.9663, 0.6740, 0.3320]]
}



no.,DOS at the Fermi energy (states/eV/f.u.),uncorrected energy (eV per formula unit)
1,4.464,-35.67
2,16.866,-57.25
3,3.703,-17.83
4,4.564,-26.23
5,19.484,-29.17
6,1.463,-15.02
7,3.902,-13.72
8,13.158,-61.10